DFT (PBE+U) results for LaNd3Cr4O12 after structural relaxation.

Cell and atoms, written as CIF:
```
data_LaNd3Cr4O12
_chemical_formula_sum 'La1 Nd3 Cr4 O12'
_space_group_name_H-M_alt 'P 1 m 1'
_space_group_IT_number 6
_space_group_name_Hall 'P -2y'
_cell_length_a 5.499
_cell_length_b 7.832
_cell_length_c 5.628
_cell_angle_alpha 90.00
_cell_angle_beta 90.03
_cell_angle_gamma 90.00
loop_
_atom_site_label
_atom_site_fract_x
_atom_site_fract_y
_atom_site_fract_z
La1 0.000 0.000 0.000
Nd1 0.477 0.000 0.507
Nd2 0.503 0.500 0.406
Nd3 0.977 0.500 0.904
Cr1 0.490 0.251 0.957
Cr2 0.991 0.251 0.455
O1 0.080 0.500 0.481
O2 0.199 0.205 0.746
O3 0.287 0.204 0.252
O4 0.399 0.500 0.983
O5 0.572 0.000 0.930
O6 0.698 0.299 0.665
O7 0.783 0.299 0.164
O8 0.900 0.000 0.435
```

Results
- energy (eV/atom) = -8.182
- magnetization (μB per cell) = 12.0